CaYCr2O8, relaxed, DFT PBE with a Hubbard U; raw total energy = -88.702 eV per cell; Fermi-level density of states = 0.38 states/eV per cell; space group = I-4m2, No. 119; crystal system = tetragonal
1.0
-3.626 3.626 3.162
3.626 -3.626 3.162
3.626 3.626 -3.162
Ca Y Cr O
1 1 2 8
direct
0.000 0.000 0.000 Ca
0.250 0.750 0.500 Y
0.500 0.500 0.000 Cr
0.750 0.250 0.500 Cr
0.333 0.144 0.811 O
0.333 0.522 0.189 O
0.407 0.086 0.321 O
0.478 0.667 0.811 O
0.764 0.086 0.679 O
0.856 0.667 0.189 O
0.914 0.236 0.321 O
0.914 0.593 0.679 O